(1)
Crystalline SnS2Cl at its relaxed geometry, computed with GGA-PBE.

```
SnS2Cl
1.0
7.113 0.000 0.000
0.000 7.113 0.000
3.557 3.557 4.273
Sn S Cl
2 4 2
Cartesian
7.113 3.557 2.137 Sn
0.000 0.000 0.000 Sn
5.768 1.778 1.068 S
8.892 9.324 3.205 S
1.346 5.335 1.068 S
5.335 4.902 3.205 S
3.557 3.557 0.000 Cl
3.557 7.113 2.137 Cl
```

Output
formation energy without anion corrections: 0.0430 eV/atom
relative energy among the computed polymorphs: 167 meV per atom
total magnetization: 2.0 μB/cell
DFT total energy: -0.256 Ry/atom

---

(2)
Crystalline AcMgHg2 at its relaxed geometry, computed with GGA-PBE.

```
AcMgHg2
1.0
-2.908 1.333 -2.353
-3.257 0.431 4.270
1.689 5.057 0.778
Hg Ac Mg
2 1 1
Cartesian
-1.629 0.216 2.135 Hg
0.844 2.528 0.389 Hg
-2.238 3.411 1.347 Ac
-1.454 0.667 -1.177 Mg
```

Output
energy of formation: -321 meV per atom
relative energy among the computed polymorphs: 117 meV per atom
total magnetization: 0.0 μB/cell
DFT total energy: -0.140 Ry/atom

---

(3)
Crystalline PmGd2Bi at its relaxed geometry, computed with GGA-PBE.

```
PmGd2Bi
1.0
-5.411 -0.035 -1.339
-2.229 -4.468 -2.479
-3.543 -3.264 2.802
Gd Bi Pm
2 1 1
Cartesian
-8.387 -5.825 -0.762 Gd
-2.796 -1.942 -0.254 Gd
0.000 0.000 0.000 Bi
-5.591 -3.884 -0.508 Pm
```

Output
energy of formation: -208 meV per atom
relative energy among the computed polymorphs: 203 meV per atom
total magnetization: 15.9 μB/cell
DFT total energy: -0.691 Ry/atom

---

(4)
Crystalline HoNpPtRh at its relaxed geometry, computed with GGA-PBE.

```
HoNpPtRh
1.0
4.883 0.000 0.000
2.441 4.229 0.000
2.441 1.410 3.987
Np Pt Rh Ho
1 1 1 1
Cartesian
4.883 2.819 1.993 Np
7.324 4.229 2.990 Pt
2.441 1.410 0.997 Rh
0.000 0.000 0.000 Ho
```

Output
energy of formation: -636 meV per atom
total magnetization: 4.1 μB/cell
DFT total energy: -0.615 Ry/atom

---

(5)
Crystalline CaAlSi2Ru at its relaxed geometry, computed with GGA-PBE.

```
CaAlSi2Ru
1.0
-0.766 -0.768 -4.538
4.429 -1.540 -0.487
-1.403 -4.342 0.971
Si Ca Al Ru
2 1 1 1
Cartesian
-0.383 -0.384 -2.269 Si
-0.702 -2.171 0.486 Si
1.130 -3.325 -2.027 Ca
2.214 -0.770 -0.244 Al
0.000 0.000 0.000 Ru
```

Output
formation energy without anion corrections: -0.0569 eV/atom
total magnetization: 0.0 μB/cell
DFT total energy: -0.384 Ry/atom

---

(6)
Crystalline NaBeSb2I at its relaxed geometry, computed with GGA-PBE.

```
NaBeSb2I
1.0
-1.651 -3.479 -2.680
0.226 -2.927 3.659
-8.277 2.186 2.260
Na Be Sb I
1 1 2 1
Cartesian
-4.851 -2.110 1.620 Na
0.000 0.000 0.000 Be
0.113 -1.463 1.830 Sb
-0.825 -1.739 -1.340 Sb
-4.139 1.093 1.130 I
```

Output
formation energy without anion corrections: 0.0565 eV/atom
relative energy among the computed polymorphs: 0 meV per atom
total magnetization: 0.0 μB/cell
DFT total energy: -0.214 Ry/atom

---

(7)
Crystalline Pr3Sb2Rh6 at its relaxed geometry, computed with GGA-PBE.

```
Pr3Sb2Rh6
1.0
-2.983 -7.204 2.939
-3.919 1.942 -7.092
8.168 -0.765 -1.460
Pr Rh Sb
6 12 4
Cartesian
-1.970 -1.502 -1.186 Pr
1.480 -2.275 0.422 Pr
3.705 -5.694 1.057 Pr
3.036 0.841 -6.111 Pr
-4.932 -3.760 -2.967 Pr
1.213 0.336 -2.441 Pr
-3.310 -4.010 -0.564 Rh
0.301 0.997 -5.125 Rh
-0.599 -4.620 -0.934 Rh
2.193 -4.600 -1.176 Rh
0.911 -4.955 1.403 Rh
3.947 0.180 -3.427 Rh
-0.927 -1.427 -4.436 Rh
1.865 -1.407 -4.679 Rh
4.274 -3.013 0.076 Rh
-2.028 -3.655 -3.143 Rh
-3.592 -1.252 -3.589 Rh
3.294 -2.372 -2.470 Rh
4.084 -0.382 -0.730 Sb
-1.491 -3.602 1.470 Sb
0.633 -3.013 -2.806 Sb
-1.960 0.971 -3.546 Sb
```

Output
formation energy without anion corrections: -0.7017 eV/atom
total magnetization: 1.1 μB/cell
DFT total energy: -0.497 Ry/atom

---

(8)
Crystalline MoP2Ru at its relaxed geometry, computed with GGA-PBE.

```
MoP2Ru
1.0
4.315 0.000 0.000
2.157 3.737 0.000
2.157 1.246 3.523
P Ru Mo
2 1 1
Cartesian
0.000 0.000 0.000 P
2.157 1.246 0.881 P
6.472 3.737 2.642 Ru
4.315 2.491 1.762 Mo
```

Output
energy of formation: 359 meV per atom
total magnetization: 0.9 μB/cell
DFT total energy: -0.542 Ry/atom

---

> The lowest DFT total energy belongs to which entry?

PmGd2Bi

---

> Which of these has the highest total magnetization?

PmGd2Bi

---

> Which value of total magnetization does entry 1 give?

2.0 μB/cell